## CaRe2Pb (PBE)

Data for an optimized crystal structure of CaRe2Pb.

Calculated values
The value obtained for the total energy is -6.778 eV per atom. The value obtained for the formation energy is 0.873 eV/atom. As for the space group: Pmmm (47).

Structure (POSCAR):
```
CaRe2Pb
1.0
2.888 0.000 0.000
0.000 4.902 0.000
0.000 0.000 6.277
Re Pb Ca
2 1 1
direct
0.000 0.000 0.066
0.000 0.000 0.434
0.500 0.500 0.750
0.500 0.500 0.250
```


## BeAlGa2Fe (PBE)

Data for an optimized crystal structure of BeAlGa2Fe.

Calculated values
The value obtained for the total energy is -3.943 eV per atom. The value obtained for the formation energy is 0.454 eV/atom. As for the space group: P4/mmm (123).

Structure (POSCAR):
```
BeAlGa2Fe
1.0
-1.508 0.601 3.942
-3.015 -2.841 -0.721
2.560 -3.085 1.450
Ga Fe Al Be
2 1 1 1
direct
0.500 0.000 0.000
0.000 0.000 0.500
0.000 0.500 0.000
0.500 0.500 0.500
0.000 0.000 0.000
```


## Tl2CuRuCl (PBE)

Data for an optimized crystal structure of Tl2CuRuCl.

Calculated values
As for the formation energy (no corrections): 0.3369 eV per atom. The value obtained for the total energy is -3.653 eV per atom. As for the space group: P4/mmm (123).

Structure (POSCAR):
```
Tl2CuRuCl
1.0
-2.906 -0.216 4.499
1.147 -4.482 0.526
4.307 1.436 2.851
Ru Cl Tl Cu
1 1 2 1
direct
0.000 0.000 0.000
0.500 0.500 0.500
0.500 0.000 0.000
0.000 0.000 0.500
0.000 0.500 0.000
```


## LiDy2Ga6Fe (PBE)

Data for an optimized crystal structure of LiDy2Ga6Fe.

Calculated values
The value obtained for the total energy is -4.075 eV per atom. The value obtained for the formation energy is -0.301 eV/atom. As for the space group: C2/m (12).

Structure (POSCAR):
```
LiDy2Ga6Fe
1.0
-4.463 0.191 7.546
-3.372 -3.591 -1.907
-1.477 -4.748 4.243
Ga Dy Li Fe
6 2 1 1
direct
0.256 0.259 0.977
0.744 0.741 0.023
0.256 0.763 0.978
0.903 0.752 0.496
0.744 0.237 0.022
0.097 0.248 0.504
0.267 0.743 0.515
0.733 0.257 0.485
0.500 0.500 0.000
0.000 0.000 0.000
```


## CdMoWSe2 (PBE)

Data for an optimized crystal structure of CdMoWSe2.

Calculated values
As for the formation energy (no corrections): 0.8623 eV per atom. The value obtained for the total energy is -5.471 eV per atom. As for the space group: P4/mmm (123).

Structure (POSCAR):
```
CdMoWSe2
1.0
-4.670 1.416 0.088
-0.644 -2.408 4.590
1.285 4.093 2.327
Se Mo Cd W
2 1 1 1
direct
0.500 0.000 0.000
0.000 0.000 0.500
0.000 0.500 0.000
0.500 0.500 0.500
0.000 0.000 0.000
```


## Mn2PRh (PBE)

Data for an optimized crystal structure of Mn2PRh.

Calculated values
The value obtained for the total energy is -7.907 eV per atom. The value obtained for the formation energy is -0.132 eV/atom. As for the space group: P2/m (10).

Structure (POSCAR):
```
Mn2PRh
1.0
3.613 0.000 0.000
0.000 2.722 -0.008
0.000 1.953 5.034
Mn P Rh
2 1 1
direct
0.000 0.063 0.021
0.000 0.437 0.479
0.500 0.250 0.250
0.500 0.750 0.750
```


## LiEr2Ga6 (PBE)

Data for an optimized crystal structure of LiEr2Ga6.

Calculated values
The value obtained for the total energy is -3.693 eV per atom. The value obtained for the formation energy is -0.448 eV/atom. As for the space group: P6/mmm (191).

Structure (POSCAR):
```
LiEr2Ga6
1.0
-2.368 -2.216 0.886
3.039 -5.182 -4.838
5.464 -4.848 2.477
Er Li Ga
2 1 6
direct
0.000 0.667 0.667
0.000 0.333 0.333
0.000 0.000 0.000
0.500 0.000 0.671
0.500 0.671 0.000
0.500 0.671 0.329
0.500 0.329 0.671
0.500 0.000 0.329
0.500 0.329 0.000
```


## Dy2TmV (PBE)

Data for an optimized crystal structure of Dy2TmV.

Calculated values
The value obtained for the total energy is -5.098 eV per atom. The value obtained for the formation energy is 0.600 eV/atom. As for the space group: R-3m (166).

Structure (POSCAR):
```
Dy2TmV
1.0
-0.516 2.018 -2.629
0.368 -1.180 -3.118
-11.001 -2.725 -2.072
Dy Tm V
2 1 1
direct
0.083 0.083 0.752
0.917 0.917 0.248
0.500 0.500 0.500
0.000 0.000 0.000
```


## Na2PSe5 (PBE)

Data for an optimized crystal structure of Na2PSe5.

Calculated values
As for the formation energy (no corrections): -0.2917 eV per atom. The value obtained for the total energy is -3.475 eV per atom. As for the space group: Cm (8).

Structure (POSCAR):
```
Na2PSe5
1.0
6.598 0.000 0.000
0.000 5.653 -0.008
-3.299 -2.832 6.262
Se Na P
5 2 1
direct
0.294 0.766 0.053
0.295 0.286 0.054
0.786 0.786 0.572
0.758 0.766 0.053
0.759 0.287 0.054
0.207 0.709 0.414
0.714 0.213 0.427
0.964 0.964 0.928
```


## PrCdPb (PBE)

Data for an optimized crystal structure of PrCdPb.

Calculated values
The value obtained for the total energy is -3.408 eV per atom. The value obtained for the formation energy is -0.274 eV/atom. As for the space group: I4mm (107).

Structure (POSCAR):
```
PrCdPb
1.0
-2.894 1.722 1.610
0.767 -1.722 3.221
4.794 4.733 -0.774
Cd Pr Pb
1 1 1
direct
0.661 0.661 0.323
0.326 0.326 0.651
0.013 0.013 0.026
```


## Nd8Ga3CoCl4 (PBE)

Data for an optimized crystal structure of Nd8Ga3CoCl4.

Calculated values
As for the formation energy (no corrections): -0.9373 eV per atom. The value obtained for the total energy is -4.795 eV per atom. As for the space group: C2/m (12).

Structure (POSCAR):
```
Nd8Ga3CoCl4
1.0
8.374 0.000 0.000
0.000 8.581 0.166
-4.187 -4.166 5.907
Ga Nd Cl Co
3 8 4 1
direct
0.500 0.500 0.000
0.000 0.500 0.500
0.500 0.500 0.500
0.231 0.726 0.996
0.249 0.248 0.498
0.235 0.274 0.004
0.232 0.728 0.465
0.768 0.272 0.535
0.769 0.274 0.004
0.751 0.752 0.502
0.765 0.726 0.996
0.500 0.000 0.000
0.500 0.000 0.500
0.000 0.000 0.000
0.000 0.000 0.500
0.000 0.500 0.000
```


## SrCdInNi (PBE)

Data for an optimized crystal structure of SrCdInNi.

Calculated values
The value obtained for the total energy is -2.841 eV per atom. The value obtained for the formation energy is -0.062 eV/atom. As for the energy relative to the lowest polymorph listed for this composition: 0.1340 eV per atom. As for the space group: Cm (8).

Structure (POSCAR):
```
SrCdInNi
1.0
3.381 0.000 -0.004
0.000 4.196 0.000
-3.350 0.000 14.152
Ni In Cd Sr
2 2 2 2
direct
0.819 0.500 0.608
0.819 0.000 0.108
0.326 0.000 0.614
0.326 0.500 0.114
0.476 0.000 0.267
0.476 0.500 0.767
0.125 0.000 0.918
0.125 0.500 0.418
```


## Pm3HoSb3 (PBE)

Data for an optimized crystal structure of Pm3HoSb3.

Calculated values
As for the formation energy (no corrections): -1.0337 eV per atom. The value obtained for the total energy is -5.490 eV per atom. As for the energy relative to the lowest polymorph listed for this composition: 0.0000 eV per atom. As for the space group: P2_13 (198).

Structure (POSCAR):
```
Pm3HoSb3
1.0
-8.370 -2.060 3.683
-1.873 -5.519 -7.342
3.782 -7.292 4.516
Pm Sb Ho
12 12 4
direct
0.177 0.823 0.323
0.323 0.177 0.823
0.823 0.323 0.177
0.568 0.068 0.432
0.679 0.321 0.821
0.321 0.821 0.679
0.179 0.179 0.179
0.432 0.568 0.068
0.821 0.679 0.321
0.068 0.432 0.568
0.932 0.932 0.932
0.677 0.677 0.677
0.502 0.245 0.128
0.628 0.998 0.755
0.372 0.498 0.745
0.128 0.502 0.245
0.245 0.128 0.502
0.745 0.372 0.498
0.872 0.002 0.255
0.498 0.745 0.372
0.755 0.628 0.998
0.255 0.872 0.002
0.002 0.255 0.872
0.998 0.755 0.628
0.572 0.928 0.072
0.428 0.428 0.428
0.072 0.572 0.928
0.928 0.072 0.572
```


## NdDyCuHg (PBE)

Data for an optimized crystal structure of NdDyCuHg.

Calculated values
The value obtained for the total energy is -3.769 eV per atom. The value obtained for the formation energy is -0.327 eV/atom. As for the energy relative to the lowest polymorph listed for this composition: 0.0000 eV per atom. As for the space group: P4mm (99).

Structure (POSCAR):
```
NdDyCuHg
1.0
3.607 0.000 0.000
0.000 3.607 0.000
0.000 0.000 7.522
Cu Hg Nd Dy
1 1 1 1
direct
0.000 0.000 0.377
0.000 0.000 0.841
0.500 0.500 0.126
0.500 0.500 0.583
```


## Ho3MgHg (PBE)

Data for an optimized crystal structure of Ho3MgHg.

Calculated values
The value obtained for the total energy is -3.327 eV per atom. The value obtained for the formation energy is -0.201 eV/atom. As for the energy relative to the lowest polymorph listed for this composition: 0.0000 eV per atom. As for the space group: Cmcm (63).

Structure (POSCAR):
```
Ho3MgHg
1.0
-3.115 -3.374 2.268
3.537 -3.655 -0.580
2.486 0.767 10.340
Hg Ho Mg
2 6 2
direct
0.664 0.750 0.320
0.984 0.250 0.680
0.381 0.250 0.887
0.763 0.250 0.123
0.886 0.750 0.877
0.268 0.750 0.113
0.573 0.250 0.502
0.075 0.750 0.498
0.171 0.250 0.307
0.478 0.750 0.693
```


## Tc2B (PBE)

Data for an optimized crystal structure of Tc2B.

Calculated values
The value obtained for the total energy is -9.310 eV per atom. The value obtained for the formation energy is -0.173 eV/atom. As for the energy relative to the lowest polymorph listed for this composition: 0.1050 eV per atom. As for the space group: C2/m (12).

Structure (POSCAR):
```
Tc2B
1.0
2.922 0.000 -0.675
-0.244 5.734 -1.058
-0.554 0.713 4.264
Tc B
4 2
direct
0.638 0.605 0.276
0.362 0.395 0.724
0.646 0.133 0.293
0.354 0.867 0.707
0.937 0.133 0.874
0.063 0.867 0.126
```


## CsPt4O7 (PBE)

Data for an optimized crystal structure of CsPt4O7.

Calculated values
As for the formation energy (no corrections): -0.2769 eV per atom. The value obtained for the total energy is -5.254 eV per atom. As for the space group: Pmn2_1 (31).

Structure (POSCAR):
```
CsPt4O7
1.0
-3.362 -3.552 0.378
3.268 -3.533 -4.127
6.612 -5.224 9.707
Pt O Cs
8 14 2
direct
0.045 0.346 0.624
0.683 0.185 0.762
0.045 0.346 0.376
0.183 0.815 0.738
0.683 0.185 0.238
0.183 0.815 0.262
0.545 0.654 0.124
0.545 0.654 0.876
0.803 0.337 0.500
0.932 0.038 0.658
0.569 0.347 0.886
0.569 0.347 0.114
0.404 0.347 0.321
0.404 0.347 0.679
0.904 0.653 0.821
0.904 0.653 0.179
0.069 0.653 0.386
0.069 0.653 0.614
0.432 0.962 0.158
0.932 0.038 0.342
0.432 0.962 0.842
0.303 0.663 0.000
0.587 0.810 0.500
0.087 0.190 0.000
```


## Nd8Te4P3Se (PBE)

Data for an optimized crystal structure of Nd8Te4P3Se.

Calculated values
As for the formation energy (no corrections): -1.6028 eV per atom. The value obtained for the total energy is -6.004 eV per atom. As for the space group: R-3m (166).

Structure (POSCAR):
```
Nd8Te4P3Se
1.0
-4.978 -3.783 5.828
6.882 -4.798 2.764
0.691 8.518 -0.149
Nd Te Se P
8 4 1 3
direct
0.243 0.714 0.971
0.757 0.286 0.029
0.728 0.714 0.971
0.272 0.286 0.029
0.738 0.713 0.475
0.243 0.714 0.486
0.757 0.286 0.514
0.262 0.287 0.525
0.000 0.000 0.500
0.500 0.000 0.500
0.000 0.000 0.000
0.500 0.000 0.000
0.000 0.500 0.000
0.000 0.500 0.500
0.500 0.500 0.500
0.500 0.500 0.000
```


## Sm3Ge2Rh3 (PBE)

Data for an optimized crystal structure of Sm3Ge2Rh3.

Calculated values
The value obtained for the total energy is -6.513 eV per atom. The value obtained for the formation energy is -0.833 eV/atom. As for the energy relative to the lowest polymorph listed for this composition: 0.0645 eV per atom. As for the space group: Cmcm (63).

Structure (POSCAR):
```
Sm3Ge2Rh3
1.0
4.222 0.000 0.000
-2.111 5.204 0.000
0.000 0.000 15.183
Rh Ge Sm
6 4 6
direct
0.344 0.688 0.250
0.355 0.709 0.531
0.645 0.291 0.031
0.355 0.709 0.969
0.645 0.291 0.469
0.656 0.312 0.750
0.213 0.426 0.395
0.787 0.574 0.605
0.787 0.574 0.895
0.213 0.426 0.105
0.075 0.151 0.607
0.638 0.276 0.250
0.075 0.151 0.893
0.925 0.849 0.393
0.925 0.849 0.107
0.362 0.724 0.750
```


## Na2HfIr (PBE)

Data for an optimized crystal structure of Na2HfIr.

Calculated values
The value obtained for the total energy is -4.485 eV per atom. The value obtained for the formation energy is 0.878 eV/atom. As for the energy relative to the lowest polymorph listed for this composition: 0.7090 eV per atom. As for the space group: Fm-3m (225).

Structure (POSCAR):
```
Na2HfIr
1.0
-1.949 -4.133 1.287
-3.679 -1.750 -2.436
0.571 -3.844 -2.726
Hf Na Ir
1 2 1
direct
0.000 0.000 0.000
0.750 0.750 0.750
0.250 0.250 0.250
0.500 0.500 0.500
```


## Mg2TcOs (PBE)

Data for an optimized crystal structure of Mg2TcOs.

Calculated values
The value obtained for the total energy is -5.862 eV per atom. The value obtained for the formation energy is 0.335 eV/atom. As for the energy relative to the lowest polymorph listed for this composition: 0.3178 eV per atom. As for the space group: Cmmm (65).

Structure (POSCAR):
```
Mg2TcOs
1.0
5.155 -0.004 0.000
-2.356 4.585 0.000
0.000 0.000 2.689
Tc Mg Os
1 2 1
direct
0.000 0.500 0.500
0.500 0.500 0.000
0.000 0.000 0.000
0.500 0.000 0.500
```


## NdNpSb (PBE)

Data for an optimized crystal structure of NdNpSb.

Calculated values
As for the formation energy (no corrections): 0.1731 eV per atom. The value obtained for the total energy is -7.104 eV per atom. As for the space group: P6_222 (180).

Structure (POSCAR):
```
NdNpSb
1.0
-3.090 -2.201 4.690
1.563 -3.633 -4.554
14.903 -3.711 8.076
Sb Np Nd
6 6 6
direct
0.000 0.000 0.500
0.000 0.500 0.333
0.000 0.000 0.833
0.500 0.500 0.000
0.500 0.000 0.667
0.000 0.000 0.167
0.252 0.626 0.833
0.748 0.374 0.833
0.626 0.252 0.167
0.626 0.374 0.500
0.374 0.626 0.500
0.374 0.748 0.167
0.000 0.500 0.637
0.500 0.500 0.697
0.500 0.000 0.970
0.500 0.500 0.303
0.000 0.500 0.030
0.500 0.000 0.363
```